A:
## Fe5Tc3 (GGA-PBE)

Data for a relaxed Fe5Tc3 crystal.

a = 5.2122 Å, b = 5.2122 Å, c = 3.6590 Å
α = 90.00°, β = 90.00°, γ = 91.88°
Last column: magnetic moment on the atom in μB.
Fractional coordinates of all 8 atoms:
Fe: 0.0000 0.0000 0.0000  1.64
Fe: 0.5000 0.0000 0.0000  -2.03
Fe: 0.0000 0.5000 0.0000  -2.03
Fe: 0.7576 0.7576 0.5000  1.73
Fe: 0.2424 0.2424 0.5000  1.73
Tc: 0.5000 0.5000 0.0000  0.09
Tc: 0.7564 0.2436 0.5000  -0.09
Tc: 0.2436 0.7564 0.5000  -0.09

For the theoretical density, the calculation gives 9.6 Mg/m³. The value obtained for the total magnetization is 0.94 Bohr magnetons per cell. The density of states at the Fermi level comes out at 7.30 states/eV per cell.

B:
## Fe5Tc3 (GGA-PBE)

Data for a relaxed Fe5Tc3 crystal.

a = 7.2360 Å, b = 7.2360 Å, c = 4.6890 Å
α = 90.00°, β = 90.00°, γ = 120.00°
Last column: magnetic moment on the atom in μB.
Fractional coordinates of all 16 atoms:
Tc: 0.5879 0.0000 0.2500  -0.09
Tc: 0.4121 0.0000 0.7500  -0.09
Tc: 0.0000 0.5879 0.2500  -0.09
Tc: 0.4121 0.4121 0.2500  -0.09
Tc: 0.5879 0.5879 0.7500  -0.09
Tc: 0.0000 0.4121 0.7500  -0.09
Fe: 0.3333 0.6667 0.0000  1.64
Fe: 0.6667 0.3333 0.5000  1.64
Fe: 0.6667 0.3333 0.0000  1.64
Fe: 0.3333 0.6667 0.5000  1.64
Fe: 0.2088 0.0000 0.2500  2.53
Fe: 0.7912 0.0000 0.7500  2.53
Fe: 0.0000 0.2088 0.2500  2.53
Fe: 0.7912 0.7912 0.2500  2.53
Fe: 0.2088 0.2088 0.7500  2.53
Fe: 0.0000 0.7912 0.7500  2.53

For the theoretical density, the calculation gives 9.0 Mg/m³. The value obtained for the total magnetization is 21.24 Bohr magnetons per cell. The density of states at the Fermi level comes out at 19.05 states/eV per cell.

Relative energies, in eV/atom, with the most stable structure set to zero: A 0.000; B 0.283.

A:
## Fe3Tc5 (GGA-PBE)

Data for a relaxed Fe3Tc5 crystal.

a = 7.1799 Å, b = 7.1799 Å, c = 4.7881 Å
α = 90.00°, β = 90.00°, γ = 60.00°
Last column: magnetic moment on the atom in μB.
Fractional coordinates of all 16 atoms:
Tc: 0.7747 0.2253 0.2500  -0.05
Tc: 0.2253 0.7747 0.7500  -0.05
Tc: 0.2253 0.0000 0.2500  -0.05
Tc: 0.0000 0.2253 0.7500  -0.05
Tc: 0.6667 0.6667 0.0000  -0.15
Tc: 0.6667 0.6667 0.5000  -0.15
Tc: 0.3333 0.3333 0.0000  -0.15
Tc: 0.3333 0.3333 0.5000  -0.15
Tc: 0.7747 0.0000 0.7500  -0.05
Tc: 0.0000 0.7747 0.2500  -0.05
Fe: 0.5854 0.4146 0.7500  1.27
Fe: 0.4145 0.5855 0.2500  1.27
Fe: 0.4145 0.0000 0.7500  1.27
Fe: 0.0000 0.4145 0.2500  1.27
Fe: 0.5854 0.0000 0.2500  1.27
Fe: 0.0000 0.5854 0.7500  1.27

For the theoretical density, the calculation gives 10.2 Mg/m³. The value obtained for the total magnetization is 6.74 Bohr magnetons per cell. The density of states at the Fermi level comes out at 17.68 states/eV per cell.

B:
## Fe3Tc5 (GGA-PBE)

Data for a relaxed Fe3Tc5 crystal.

a = 5.3299 Å, b = 5.3299 Å, c = 3.7339 Å
α = 90.00°, β = 90.00°, γ = 90.24°
Last column: magnetic moment on the atom in μB.
Fractional coordinates of all 8 atoms:
Fe: 0.5000 0.5000 0.0000  1.09
Fe: 0.2567 0.2567 0.5000  1.60
Fe: 0.7433 0.7433 0.5000  1.60
Tc: 0.0000 0.0000 0.0000  -0.06
Tc: 0.0000 0.5000 0.0000  -0.18
Tc: 0.5000 0.0000 0.0000  -0.18
Tc: 0.7414 0.2586 0.5000  -0.18
Tc: 0.2586 0.7414 0.5000  -0.18

For the theoretical density, the calculation gives 10.3 Mg/m³. The value obtained for the total magnetization is 3.46 Bohr magnetons per cell. The density of states at the Fermi level comes out at 9.81 states/eV per cell.

Relative energies, in eV/atom, with the most stable structure set to zero: A 0.070; B 0.000.

A:
## FeTcTe (GGA-PBE)

Data for a relaxed FeTcTe crystal.

a = 3.2755 Å, b = 4.5649 Å, c = 8.9073 Å
α = 81.31°, β = 89.64°, γ = 68.99°
Last column: magnetic moment on the atom in μB.
Fractional coordinates of all 6 atoms:
Te: 0.5568 0.2758 0.5982  -0.06
Te: 0.9264 0.5575 0.9966  -0.02
Tc: 0.3858 0.6273 0.2550  -0.35
Tc: 0.6597 0.0852 0.1630  -0.02
Fe: 0.8283 0.7376 0.4633  2.26
Fe: 0.1074 0.1822 0.3728  2.00

For the theoretical density, the calculation gives 7.6 Mg/m³. The value obtained for the total magnetization is 3.78 Bohr magnetons per cell. The density of states at the Fermi level comes out at 4.60 states/eV per cell.

B:
## FeTcTe (GGA-PBE)

Data for a relaxed FeTcTe crystal.

a = 3.1513 Å, b = 3.1513 Å, c = 6.0232 Å
α = 90.00°, β = 90.00°, γ = 120.00°
Last column: magnetic moment on the atom in μB.
Fractional coordinates of all 3 atoms:
Fe: 0.0000 0.0000 0.0224  2.59
Tc: 0.3333 0.6667 0.3120  0.17
Te: 0.6667 0.3333 0.6656  -0.01

For the theoretical density, the calculation gives 9.0 Mg/m³. The value obtained for the total magnetization is 2.80 Bohr magnetons per cell. The density of states at the Fermi level comes out at 2.81 states/eV per cell.

C:
## FeTcTe (GGA-PBE)

Data for a relaxed FeTcTe crystal.

a = 4.2504 Å, b = 4.2504 Å, c = 3.0383 Å
α = 90.00°, β = 90.00°, γ = 120.00°
Last column: magnetic moment on the atom in μB.
Fractional coordinates of all 3 atoms:
Fe: 0.0000 0.0000 0.8325  1.83
Tc: 0.6667 0.3333 0.3334  0.34
Te: 0.3333 0.6667 0.8341  -0.04

For the theoretical density, the calculation gives 9.8 Mg/m³. The value obtained for the total magnetization is 2.13 Bohr magnetons per cell. The density of states at the Fermi level comes out at 3.01 states/eV per cell.

Relative energies, in eV/atom, with the most stable structure set to zero: A 0.000; B 0.405; C 0.388.

A:
## FeTcTe (GGA-PBE)

Data for a relaxed FeTcTe crystal.

a = 8.9450 Å, b = 4.0649 Å, c = 7.0474 Å
α = 90.00°, β = 105.16°, γ = 90.00°
Last column: magnetic moment on the atom in μB.
Fractional coordinates of all 12 atoms:
Te: 0.5954 0.0000 0.7454  0.00
Te: 0.5954 0.5000 0.2454  0.00
Te: 0.9861 0.0000 0.5428  -0.02
Te: 0.9861 0.5000 0.0428  -0.02
Tc: 0.3751 0.0000 0.3386  0.30
Tc: 0.3751 0.5000 0.8386  0.30
Tc: 0.1668 0.0000 0.9359  0.26
Tc: 0.1668 0.5000 0.4359  0.26
Fe: 0.4481 0.0000 0.0298  0.00
Fe: 0.4481 0.5000 0.5298  0.00
Fe: 0.2775 0.0000 0.6394  2.20
Fe: 0.2775 0.5000 0.1394  2.20

For the theoretical density, the calculation gives 7.6 Mg/m³. The value obtained for the total magnetization is 5.67 Bohr magnetons per cell. The density of states at the Fermi level comes out at 6.05 states/eV per cell.

B:
## FeTcTe (GGA-PBE)

Data for a relaxed FeTcTe crystal.

a = 3.7207 Å, b = 3.7213 Å, c = 9.2855 Å
α = 90.00°, β = 90.00°, γ = 120.00°
Last column: magnetic moment on the atom in μB.
Fractional coordinates of all 6 atoms:
Fe: 0.6110 0.2221 0.0000  -2.58
Fe: 0.2779 0.5558 0.5000  1.27
Tc: 0.6111 0.2222 0.6331  -0.01
Tc: 0.6111 0.2222 0.3669  -0.01
Te: 0.2777 0.5555 0.8147  -0.02
Te: 0.2777 0.5555 0.1853  -0.02

For the theoretical density, the calculation gives 8.4 Mg/m³. The value obtained for the total magnetization is 1.33 Bohr magnetons per cell. The density of states at the Fermi level comes out at 7.50 states/eV per cell.

C:
## FeTcTe (GGA-PBE)

Data for a relaxed FeTcTe crystal.

a = 3.1000 Å, b = 4.2551 Å, c = 9.9518 Å
α = 84.39°, β = 81.18°, γ = 68.60°
Last column: magnetic moment on the atom in μB.
Fractional coordinates of all 6 atoms:
Te: 0.0487 0.4242 0.3867  -0.03
Te: 0.8951 0.1055 0.0252  -0.02
Tc: 0.0389 0.0960 0.7428  -0.16
Tc: 0.2634 0.5284 0.8627  -0.02
Fe: 0.7021 0.9861 0.5206  2.11
Fe: 0.3775 0.5454 0.6132  2.28

For the theoretical density, the calculation gives 7.7 Mg/m³. The value obtained for the total magnetization is 4.17 Bohr magnetons per cell. The density of states at the Fermi level comes out at 4.06 states/eV per cell.

D:
## FeTcTe (GGA-PBE)

Data for a relaxed FeTcTe crystal.

a = 4.1710 Å, b = 4.1710 Å, c = 8.3917 Å
α = 90.00°, β = 90.00°, γ = 120.00°
Last column: magnetic moment on the atom in μB.
Fractional coordinates of all 6 atoms:
Te: 0.3333 0.6667 0.6129  -0.07
Te: 0.0000 0.0000 0.0030  0.01
Tc: 0.3333 0.6667 0.3052  0.04
Tc: 0.6667 0.3333 0.1687  -0.20
Fe: 0.6667 0.3333 0.4527  1.83
Fe: 0.0000 0.0000 0.3064  -1.65

For the theoretical density, the calculation gives 7.4 Mg/m³. The value obtained for the total magnetization is 0.14 Bohr magnetons per cell. The density of states at the Fermi level comes out at 4.23 states/eV per cell.

Relative energies, in eV/atom, with the most stable structure set to zero: A 0.019; B 0.347; C 0.075; D 0.000.